Entry 1:
## Ta2BeGeB (PBE-GGA)

Data for an optimized crystal structure of Ta2BeGeB.

The calculation puts the density of states at the Fermi level at 3.94 states/eV per cell. As for the electronic total energy: -7.23 eV per atom. The value obtained for the energy relative to the elements is 0.517 eV/atom.

The structure belongs to space group P4/mmm (No. 123); the cell edges are 4.3737, 4.3737 and 3.8580 Å and the angles 90.00°, 90.00° and 90.00°. The distinct sites, in fractional coordinates, are Ta at (0.0000, 0.5000, 0.0000), Be at (0.0000, 0.0000, 0.5000), Ge at (0.5000, 0.5000, 0.5000) and B at (0.5000, 0.5000, 0.0000).

Entry 2:
## Be2BH (PBE-GGA)

Data for an optimized crystal structure of Be2BH.

The calculation puts the density of states at the Fermi level at 1.07 states/eV per cell. As for the electronic total energy: -4.30 eV per atom. Its relative energy among the computed polymorphs is 0.07 eV/f.u.

The structure belongs to space group Cm (No. 8); the cell edges are 8.9722, 3.2011 and 4.3753 Å and the angles 90.00°, 111.00° and 90.00°. The distinct sites, in fractional coordinates, are Be at (0.0000, 0.0000, 0.0000), Be at (0.0539, 0.5000, 0.4024), Be at (0.1840, 0.0000, 0.7154), Be at (0.3124, 0.0000, 0.3849), B at (0.2917, 0.5000, 0.6150), B at (0.4433, 0.5000, 0.4902), H at (0.0316, 0.5000, 0.0612) and H at (0.1841, 0.0000, 0.0475).

Entry 3:
## Be2BH (PBE-GGA)

Data for an optimized crystal structure of Be2BH.

The calculation puts the density of states at the Fermi level at 2.09 states/eV per cell. As for the electronic total energy: -4.23 eV per atom. Its relative energy among the computed polymorphs is 0.35 eV/f.u.

The structure belongs to space group Cm (No. 8); the cell edges are 8.3965, 3.2843 and 5.8024 Å and the angles 90.00°, 130.50° and 90.00°. The distinct sites, in fractional coordinates, are Be at (0.0000, 0.0000, 0.0000), Be at (0.0002, 0.0000, 0.3588), Be at (0.0862, 0.5000, 0.8775), Be at (0.3121, 0.0000, 0.4378), B at (0.1491, 0.5000, 0.2865), B at (0.4334, 0.5000, 0.6192), H at (0.0348, 0.5000, 0.3618) and H at (0.3216, 0.5000, 0.0098).

Entry 4:
## Be2BH (PBE-GGA)

Data for an optimized crystal structure of Be2BH.

The calculation puts the density of states at the Fermi level at 2.64 states/eV per cell. As for the electronic total energy: -3.88 eV per atom. Its relative energy among the computed polymorphs is 1.73 eV/f.u.

The structure belongs to space group Fm-3m (No. 225); the cell edges are 4.6475, 4.6475 and 4.6475 Å and the angles 90.00°, 90.00° and 90.00°. The distinct sites, in fractional coordinates, are Be at (0.2500, 0.2500, 0.2500), B at (0.0000, 0.0000, 0.0000) and H at (0.0000, 0.0000, 0.5000).

Entry 5:
## Be2BH (PBE-GGA)

Data for an optimized crystal structure of Be2BH.

The calculation puts the density of states at the Fermi level at 0.27 states/eV per cell. As for the electronic total energy: -4.22 eV per atom. Its relative energy among the computed polymorphs is 0.38 eV/f.u.

The structure belongs to space group P1 (No. 1); the cell edges are 3.4626, 3.8109 and 4.8480 Å and the angles 70.36°, 70.12° and 88.64°. The distinct sites, in fractional coordinates, are Be at (0.0000, 0.0000, 0.0000), Be at (0.1148, 0.4764, 0.4895), Be at (0.5511, 0.7157, 0.8985), Be at (0.7161, 0.0955, 0.4435), B at (0.1424, 0.8974, 0.6298), B at (0.4079, 0.9995, 0.2122), H at (0.3115, 0.2914, 0.0289) and H at (0.7559, 0.4801, 0.4003).

Entry 6:
## Be2BH2 (PBE-GGA)

Data for an optimized crystal structure of Be2BH2.

The calculation puts the density of states at the Fermi level at 1.63 states/eV per cell. As for the electronic total energy: -3.55 eV per atom. Its relative energy among the computed polymorphs is 1.07 eV/f.u.

The structure belongs to space group P4/mbm (No. 127); the cell edges are 5.2147, 5.2147 and 3.0313 Å and the angles 90.00°, 90.00° and 90.00°. The distinct sites, in fractional coordinates, are Be at (0.2485, 0.2515, 0.0000), B at (0.0000, 0.0000, 0.0000) and H at (0.0535, 0.5535, 0.5000).

Entry 7:
## Be2BH (PBE-GGA)

Data for an optimized crystal structure of Be2BH.

The calculation puts the density of states at the Fermi level at 0.32 states/eV per cell. As for the electronic total energy: -4.27 eV per atom. Its relative energy among the computed polymorphs is 0.18 eV/f.u.

The structure belongs to space group I4mm (No. 107); the cell edges are 3.4538, 3.4538 and 4.4099 Å and the angles 90.00°, 90.00° and 90.00°. The distinct sites, in fractional coordinates, are Be at (0.0000, 0.5000, 0.0000), B at (0.0000, 0.0000, 0.2379) and H at (0.0000, 0.0000, 0.5204).

Entry 8:
## BeB2H8 (PBE-GGA)

Data for an optimized crystal structure of BeB2H8.

The calculation puts the density of states at the Fermi level at 0.00 states/eV per cell. As for the electronic total energy: -4.09 eV per atom. Its relative energy among the computed polymorphs is 0.50 eV/f.u.

The structure belongs to space group C2/m (No. 12); the cell edges are 7.2799, 6.7495 and 3.6716 Å and the angles 90.00°, 90.71° and 90.00°. The distinct sites, in fractional coordinates, are Be at (0.0000, 0.0000, 0.0000), B at (0.2002, 0.0000, 0.6716), H at (0.1239, 0.1520, 0.7969), H at (0.1400, 0.5000, 0.2433) and H at (0.1747, 0.0000, 0.3424).

Entry 9:
## Be2BH2 (PBE-GGA)

Data for an optimized crystal structure of Be2BH2.

The calculation puts the density of states at the Fermi level at 1.06 states/eV per cell. As for the electronic total energy: -3.77 eV per atom. Its relative energy among the computed polymorphs is 0.00 eV/f.u.

The structure belongs to space group I4/mmm (No. 139); the cell edges are 3.6866, 3.6866 and 4.2851 Å and the angles 90.00°, 90.00° and 90.00°. The distinct sites, in fractional coordinates, are Be at (0.0000, 0.5000, 0.2500), B at (0.0000, 0.0000, 0.0000) and H at (0.0000, 0.0000, 0.3046).

Entry 10:
## BeBH2 (PBE-GGA)

Data for an optimized crystal structure of BeBH2.

The calculation puts the density of states at the Fermi level at 2.56 states/eV per cell. As for the electronic total energy: -3.52 eV per atom. Its relative energy among the computed polymorphs is 0.00 eV/f.u.

The structure belongs to space group I-42d (No. 122); the cell edges are 2.9890, 2.9890 and 10.0944 Å and the angles 90.00°, 90.00° and 90.00°. The distinct sites, in fractional coordinates, are Be at (0.0000, 0.0000, 0.0000), B at (0.0000, 0.0000, 0.5000) and H at (0.1182, 0.7500, 0.6250).

Entry 11:
## BeB2H (PBE-GGA)

Data for an optimized crystal structure of BeB2H.

The calculation puts the density of states at the Fermi level at 5.41 states/eV per cell. As for the electronic total energy: -3.91 eV per atom. Its relative energy among the computed polymorphs is 2.20 eV/f.u.

The structure belongs to space group Fm-3m (No. 225); the cell edges are 4.5820, 4.5820 and 4.5820 Å and the angles 90.00°, 90.00° and 90.00°. The distinct sites, in fractional coordinates, are Be at (0.0000, 0.0000, 0.0000), B at (0.2500, 0.2500, 0.2500) and H at (0.0000, 0.0000, 0.5000).

Entry 12:
## Be2BH (PBE-GGA)

Data for an optimized crystal structure of Be2BH.

The calculation puts the density of states at the Fermi level at 0.14 states/eV per cell. As for the electronic total energy: -4.19 eV per atom. Its relative energy among the computed polymorphs is 0.49 eV/f.u.

The structure belongs to space group P1 (No. 1); the cell edges are 3.3568, 3.3580 and 3.7304 Å and the angles 64.77°, 64.93° and 60.13°. The distinct sites, in fractional coordinates, are Be at (0.0000, 0.0000, 0.0000), Be at (0.4027, 0.4035, 0.7856), B at (0.6836, 0.6840, 0.9583) and H at (0.6565, 0.6439, 0.3247).